Version w
A plane-wave DFT calculation with PBE was carried out for a relaxed structure of Mg2ScRhPb.

```
Mg2ScRhPb
1.0
5.5627 0.0000 0.0000
0.0000 5.5627 0.0000
0.0000 0.0000 4.5424
Mg Sc Rh Pb
2 1 1 1
direct
0.0000 0.5000 0.0000 Mg
0.5000 0.0000 0.0000 Mg
0.0000 0.0000 0.0000 Sc
0.0000 0.0000 0.5000 Rh
0.5000 0.5000 0.5000 Pb
```

Values from the calculation:
N(E_F) = 3.67 states/eV/cell


Version x
A plane-wave DFT calculation with PBE was carried out for a relaxed structure of Mg2ScRhPb.

```
Mg2ScRhPb
1.0
4.9993 0.0000 0.0000
0.0000 4.9993 0.0000
0.0000 0.0000 4.8996
Mg Sc Rh Pb
2 1 1 1
direct
0.0000 0.5000 0.0000 Mg
0.5000 0.0000 0.0000 Mg
0.0000 0.0000 0.5000 Sc
0.0000 0.0000 0.0000 Rh
0.5000 0.5000 0.5000 Pb
```

Values from the calculation:
N(E_F) = 2.39 states/eV/cell


Which structure is the most stable? The one labeled version x.


Version w
A plane-wave DFT calculation with PBE was carried out for a relaxed structure of Mg2PbS.

```
Mg2PbS
1.0
1.8354 1.0597 7.6002
-1.8354 1.0597 7.6002
0.0000 -2.1193 7.6002
Mg Pb S
2 1 1
direct
0.2328 0.2328 0.2328 Mg
0.7672 0.7672 0.7672 Mg
0.0000 0.0000 0.0000 Pb
0.5000 0.5000 0.5000 S
```

Values from the calculation:
N(E_F) = 0.20 states/eV/cell


Version x
A plane-wave DFT calculation with PBE was carried out for a relaxed structure of Mg2PbS.

```
Mg2PbS
1.0
0.0000 3.5373 3.5373
3.5373 0.0000 3.5373
3.5373 3.5373 0.0000
Mg Pb S
2 1 1
direct
0.2500 0.2500 0.2500 Mg
0.7500 0.7500 0.7500 Mg
0.0000 0.0000 0.0000 Pb
0.5000 0.5000 0.5000 S
```

Values from the calculation:
N(E_F) = 5.24 states/eV/cell


Which structure is the most stable? The one labeled version w.


Version w
A plane-wave DFT calculation with PBE was carried out for a relaxed structure of Mg2SbPb2.

```
Mg2SbPb2
1.0
8.3924 0.0000 0.0000
0.0000 8.3924 0.0000
0.0000 0.0000 3.8316
Mg Sb Pb
4 2 4
direct
0.1300 0.3700 0.0000 Mg
0.3700 0.8700 0.0000 Mg
0.6300 0.1300 0.0000 Mg
0.8700 0.6300 0.0000 Mg
0.0000 0.0000 0.0000 Sb
0.5000 0.5000 0.0000 Sb
0.1732 0.6732 0.5000 Pb
0.3268 0.1732 0.5000 Pb
0.6732 0.8268 0.5000 Pb
0.8268 0.3268 0.5000 Pb
```

Values from the calculation:
N(E_F) = 6.42 states/eV/cell


Version x
A plane-wave DFT calculation with PBE was carried out for a relaxed structure of Mg2SbPb2.

```
Mg2SbPb2
1.0
-2.1105 2.1105 8.2103
2.1105 -2.1105 8.2103
2.1105 2.1105 -8.2103
Mg Sb Pb
2 1 2
direct
0.2500 0.7500 0.5000 Mg
0.7500 0.2500 0.5000 Mg
0.0000 0.0000 0.0000 Sb
0.4008 0.4008 0.0000 Pb
0.5992 0.5992 0.0000 Pb
```

Values from the calculation:
N(E_F) = 2.46 states/eV/cell


Version y
A plane-wave DFT calculation with PBE was carried out for a relaxed structure of Mg2SbPb2.

```
Mg2SbPb2
1.0
8.9290 0.0000 0.0000
0.0000 8.9290 0.0000
0.0000 0.0000 3.4284
Mg Sb Pb
4 2 4
direct
0.1345 0.3655 0.0000 Mg
0.3655 0.8655 0.0000 Mg
0.6345 0.1345 0.0000 Mg
0.8655 0.6345 0.0000 Mg
0.0000 0.0000 0.5000 Sb
0.5000 0.5000 0.5000 Sb
0.1645 0.6645 0.5000 Pb
0.3355 0.1645 0.5000 Pb
0.6645 0.8355 0.5000 Pb
0.8355 0.3355 0.5000 Pb
```

Values from the calculation:
N(E_F) = 4.91 states/eV/cell


Which structure is the most stable? The one labeled version y.


Version w
A plane-wave DFT calculation with PBE was carried out for a relaxed structure of MgSbTe2Pb.

```
MgSbTe2Pb
1.0
5.8413 0.0000 0.0000
0.0000 5.8413 0.0000
0.0000 0.0000 5.8331
Mg Sb Te Pb
1 1 2 1
direct
0.0000 0.0000 0.0000 Mg
0.5000 0.5000 0.0000 Sb
0.0000 0.5000 0.5000 Te
0.5000 0.0000 0.5000 Te
0.5000 0.5000 0.5000 Pb
```

Values from the calculation:
N(E_F) = 5.02 states/eV/cell


Version x
A plane-wave DFT calculation with PBE was carried out for a relaxed structure of MgSbTe2Pb.

```
MgSbTe2Pb
1.0
5.5399 0.0000 0.0000
0.0000 5.5399 0.0000
0.0000 0.0000 5.3440
Mg Sb Te Pb
1 1 2 1
direct
0.0000 0.0000 0.0000 Mg
0.0000 0.0000 0.5000 Sb
0.0000 0.5000 0.0000 Te
0.5000 0.0000 0.0000 Te
0.5000 0.5000 0.5000 Pb
```

Values from the calculation:
N(E_F) = 4.76 states/eV/cell


Which structure is the most stable? The one labeled version x.